[1]
VASP calculation (PBE) on a relaxed structure of Tb4SnPb3.

Calculated values
- calculated formation energy (eV/f.u.) = -3.98
- DOS(E_F) (states/eV/f.u.) = 5.27

CIF file:
```
data_Tb4SnPb3
_space_group_name_H-M_alt 'P m n a'
_space_group_IT_number 53
_cell_length_a 11.102
_cell_length_b 6.407
_cell_length_c 6.407
_cell_angle_alpha 90.00
_cell_angle_beta 90.00
_cell_angle_gamma 90.00
loop_
_space_group_symop_operation_xyz
'x,y,z'
'-x,-y,-z'
'-x+1/2,-y,z+1/2'
'x+1/2,y,-z+1/2'
'x,-y,-z'
'-x,y,z'
'-x+1/2,y,-z+1/2'
'x+1/2,-y,z+1/2'
loop_
_atom_site_label
_atom_site_fract_x
_atom_site_fract_y
_atom_site_fract_z
Tb1 0.000 0.000 0.000
Tb2 0.000 0.500 0.500
Tb3 0.250 0.245 0.250
Sn1 0.000 0.000 0.500
Pb1 0.000 0.500 0.000
Pb2 0.250 0.253 0.750
```

[2]
VASP calculation (PBE) on a relaxed structure of HfBe2SiAs.

Calculated values
- raw total energy (eV per cell) = -25.1
- DOS(E_F) (states/eV/f.u.) = 2.06

CIF file:
```
data_HfBe2SiAs
_space_group_name_H-M_alt 'P 4/m m m'
_space_group_IT_number 123
_space_group_name_Hall '-P 4 2'
_cell_length_a 4.060
_cell_length_b 4.060
_cell_length_c 5.304
_cell_angle_alpha 90.00
_cell_angle_beta 90.00
_cell_angle_gamma 90.00
loop_
_atom_site_label
_atom_site_fract_x
_atom_site_fract_y
_atom_site_fract_z
Hf1 0.000 0.000 0.000
Be1 0.000 0.500 0.500
Si1 0.500 0.500 0.000
As1 0.000 0.000 0.500
```

[3]
VASP calculation (PBE) on a relaxed structure of RbGePbBr5.

Calculated values
- raw total energy (eV per cell) = -102.1
- DOS(E_F) (states/eV/f.u.) = 0.00

CIF file:
```
data_RbGePbBr5
_space_group_name_H-M_alt 'C 1 2/c 1'
_space_group_IT_number 15
_cell_length_a 10.712
_cell_length_b 11.869
_cell_length_c 11.097
_cell_angle_alpha 90.00
_cell_angle_beta 114.04
_cell_angle_gamma 90.00
loop_
_space_group_symop_operation_xyz
'x,y,z'
'-x,-y,-z'
'-x,y,-z+1/2'
'x,-y,z+1/2'
'x+1/2,y+1/2,z'
'-x+1/2,-y+1/2,-z'
'-x+1/2,y+1/2,-z+1/2'
'x+1/2,-y+1/2,z+1/2'
loop_
_atom_site_label
_atom_site_fract_x
_atom_site_fract_y
_atom_site_fract_z
Rb1 0.000 0.077 0.250
Ge1 0.000 0.483 0.250
Pb1 0.250 0.250 0.000
Br1 0.000 0.217 0.750
Br2 0.028 0.335 0.093
Br3 0.217 0.013 0.087
```